The following is a PBE-GGA calculation of crystalline La5YCu6 at its relaxed geometry, from the Alexandria database.

abc: 16.2542 7.2245 5.1391
angles: 90.00 108.42 90.00
Space group C2/m (No. 12)
One atom of each set of equivalent atoms:
La (0.0000, 0.0000, 0.0000)
La (0.1646, 0.0000, 0.6631)
La (0.1696, 0.5000, 0.6683)
Y (0.0000, 0.5000, 0.0000)
Cu (0.0000, 0.2755, 0.5000)
Cu (0.1603, 0.2616, 0.1579)

Results
- Formation energy: -149 meV per atom
- Total DFT energy (no corrections): -57.47 eV/f.u.
- Crystal system: monoclinic
- D(E_F): 20.30 states/eV/cell